DFT (PBE) results for an optimized crystal structure of SrCdAgHg2.

abc: 4.5069 4.5069 7.2836
angles: 108.02 108.02 90.00
With the nearest neighbours (Å) after each atom.
Element x y z (fractional)
Sr (0.0000, 0.0000, 0.0000)  8 Hg 3.50
Hg (0.3899, 0.3899, 0.7797)  1 Hg 2.89, 2 Cd 2.90, 2 Ag 2.90
Cd (0.2500, 0.7500, 0.5000)  4 Hg 2.90, 4 Ag 3.19
Hg (0.6101, 0.6101, 0.2203)  1 Hg 2.89, 2 Ag 2.90, 2 Cd 2.90
Ag (0.7500, 0.2500, 0.5000)  4 Hg 2.90, 4 Cd 3.19

Calculated values
* space-group type: No. 119
* DOS at the Fermi energy: 2.66 states/eV/cell
* energy of formation: -265 meV per atom
* crystal system: tetragonal